Here is a relaxed Pu3HfZr2N6 crystal from Alexandria via LeMat-Bulk. Energies are from PBE-GGA.

Energy relative to the elements, uncorrected = -18.467 eV/f.u.
Calculated density = 12.18 Mg/m³
Electronic total energy = -11.539 eV per atom

Lattice parameters (Å, degrees): 5.787 10.026 5.860 90.00 109.22 90.00
Space group C2/m (No. 12)
Unique sites:
Pu (0.000, 0.000, 0.000) [2 per cell]
Pu (0.000, 0.332, 0.000) [4 per cell]
Hf (0.000, 0.500, 0.500) [2 per cell]
Zr (0.000, 0.166, 0.500) [4 per cell]
N (0.240, 0.336, 0.730) [8 per cell]
N (0.250, 0.000, 0.732) [4 per cell]

Here is a relaxed PuHf2Zr3N6 crystal from Alexandria via LeMat-Bulk. Energies are from PBE-GGA.

Energy relative to the elements, uncorrected = -19.949 eV/f.u.
Calculated density = 10.64 Mg/m³
Electronic total energy = -10.815 eV per atom

Lattice parameters (Å, degrees): 14.284 3.267 6.585 90.00 103.09 90.00
Space group C2/m (No. 12)
Unique sites:
Pu (0.000, 0.000, 0.000) [2 per cell]
Hf (0.167, 0.500, 0.333) [4 per cell]
Zr (0.000, 0.000, 0.500) [2 per cell]
Zr (0.166, 0.500, 0.834) [4 per cell]
N (0.004, 0.500, 0.262) [4 per cell]
N (0.170, 0.000, 0.576) [4 per cell]
N (0.172, 0.000, 0.096) [4 per cell]

Here is a relaxed PuHfZrN3 crystal from Alexandria via LeMat-Bulk. Energies are from PBE-GGA.

Energy relative to the elements, uncorrected = -8.940 eV/f.u.
Calculated density = 11.71 Mg/m³
Electronic total energy = -11.125 eV per atom

Lattice parameters (Å, degrees): 5.643 3.299 8.662 90.00 102.15 90.00
Space group P2_1/m (No. 11)
Unique sites:
Pu (0.147, 0.250, 0.190) [2 per cell]
Hf (0.266, 0.750, 0.543) [2 per cell]
Zr (0.365, 0.250, 0.858) [2 per cell]
N (0.051, 0.250, 0.652) [2 per cell]
N (0.241, 0.750, 0.000) [2 per cell]
N (0.462, 0.750, 0.353) [2 per cell]

Here is a relaxed PuHfZr2N4 crystal from Alexandria via LeMat-Bulk. Energies are from PBE-GGA.

Energy relative to the elements, uncorrected = -13.023 eV/f.u.
Calculated density = 10.81 Mg/m³
Electronic total energy = -10.963 eV per atom

Lattice parameters (Å, degrees): 5.698 3.292 5.733 90.00 109.18 90.00
Space group P2/m (No. 10)
Unique sites:
Pu (0.000, 0.000, 0.000) [1 per cell]
Hf (0.000, 0.500, 0.500) [1 per cell]
Zr (0.500, 0.000, 0.500) [1 per cell]
Zr (0.500, 0.500, 0.000) [1 per cell]
N (0.245, 0.000, 0.737) [2 per cell]
N (0.254, 0.500, 0.263) [2 per cell]

Here is a relaxed RbHfN2 crystal from Alexandria via LeMat-Bulk. Energies are from PBE-GGA.

Energy relative to the elements, uncorrected = -2.503 eV/f.u.
Calculated density = 5.45 Mg/m³
Electronic total energy = -7.519 eV per atom

Lattice parameters (Å, degrees): 6.208 6.208 9.242 90.00 90.00 90.00
Space group I-42d (No. 122)
Unique sites:
Rb (0.000, 0.000, 0.000) [4 per cell]
Hf (0.000, 0.000, 0.500) [4 per cell]
N (0.104, 0.250, 0.625) [8 per cell]

Here is a relaxed RbHfN2 crystal from Alexandria via LeMat-Bulk. Energies are from PBE-GGA.

Energy relative to the elements, uncorrected = 3.695 eV/f.u.
Calculated density = 5.01 Mg/m³
Electronic total energy = -5.969 eV per atom

Lattice parameters (Å, degrees): 3.8045 3.8045 23.1800 90.00 90.00 120.00
Space group R-3m (No. 166, hexagonal axes)
Unique sites:
Rb (0.0000, 0.0000, 0.0000) [3 per cell]
Hf (0.0000, 0.0000, 0.5000) [3 per cell]
N (0.0000, 0.0000, 0.4165) [6 per cell]

Here is a relaxed RbHfN2 crystal from Alexandria via LeMat-Bulk. Energies are from PBE-GGA.

Energy relative to the elements, uncorrected = -1.769 eV/f.u.
Calculated density = 6.71 Mg/m³
Electronic total energy = -7.335 eV per atom

Lattice parameters (Å, degrees): 3.3756 3.3756 21.9737 90.00 90.00 120.00
Space group R-3m (No. 166, hexagonal axes)
Unique sites:
Rb (0.0000, 0.0000, 0.0000) [3 per cell]
Hf (0.0000, 0.0000, 0.5000) [3 per cell]
N (0.0000, 0.0000, 0.1194) [6 per cell]

Here is a relaxed RbHf2N crystal from Alexandria via LeMat-Bulk. Energies are from PBE-GGA.

Energy relative to the elements, uncorrected = 0.074 eV/f.u.
Calculated density = 6.65 Mg/m³
Electronic total energy = -7.282 eV per atom

Lattice parameters (Å, degrees): 9.695 9.695 9.695 90.00 90.00 90.00
Space group Fd-3m (No. 227, origin choice 2)
Unique sites:
Rb (0.125, 0.125, 0.125) [8 per cell]
Hf (0.000, 0.000, 0.500) [16 per cell]
N (0.125, 0.125, 0.625) [8 per cell]

Q: What is the formula in the eighth record?
A: RbHf2N

Q: Among the records above, which one has the highest calculated density?
A: Pu3HfZr2N6

Q: energy relative to the elements, uncorrected of number 8 (RbHf2N)?
A: 0.074 eV/f.u.